Below is a relaxed Zr2NbNCl crystal, with properties calculated at the PBE level.

* symmetry: P4/mmm
* total moment: 0.00 μB per atom
* V: 23.77 Å³ per atom
* density: 4.538 g/cm³
* raw formation energy: 1486 meV per atom

Geometry as POSCAR:
```
Zr2NbNCl
1.0
-0.905 -3.853 3.228
-1.299 -2.622 -3.494
4.811 -1.614 -0.578
Nb Cl Zr N
1 1 2 1
Direct
0.000 0.000 0.000
0.000 0.500 0.000
0.000 0.000 0.500
0.500 0.000 0.000
0.500 0.500 0.500
```

=====

Below is a relaxed LiNiCl crystal, with properties calculated at the PBE level.

* symmetry: Fmm2
* total moment: 0.19 μB per atom
* V: 16.07 Å³ per atom
* excess energy over the best structure of this formula in the dataset: 572.3 meV per atom
* density: 3.481 g/cm³
* raw formation energy: -153 meV per atom

Geometry as POSCAR:
```
LiNiCl
1.0
6.104 0.027 -0.019
4.915 2.934 -0.088
1.189 -0.992 2.733
Ni Li Cl
1 1 1
Direct
0.652 0.652 0.348
0.347 0.347 0.653
0.001 0.001 0.999
```

=====

Below is a relaxed CsTa2TiNi crystal, with properties calculated at the PBE level.

* symmetry: P4/mmm
* total moment: 0.00 μB per atom
* V: 24.08 Å³ per atom
* formation energy: 1690.9 meV/atom
* density: 8.296 g/cm³

Geometry as POSCAR:
```
CsTa2TiNi
1.0
4.898 0.000 0.000
0.000 5.018 0.000
0.000 0.000 4.898
Ta Ti Cs Ni
2 1 1 1
Direct
0.500 0.000 0.000
0.000 0.000 0.500
0.000 0.000 0.000
0.500 0.500 0.500
0.000 0.500 0.000
```

=====

Below is a relaxed Ba2Ag3Bi5 crystal, with properties calculated at the PBE level.

* symmetry: Ibam
* total moment: 0.00 μB per atom
* V: 32.59 Å³ per atom
* formation energy: -343.5 meV/atom
* density: 8.373 g/cm³

Geometry as POSCAR:
```
Ba2Ag3Bi5
1.0
-6.047 2.692 -2.812
-4.866 -7.212 -5.638
-8.275 -3.815 4.945
Bi Ba Ag
10 4 6
Direct
0.882 0.999 0.236
0.025 0.725 0.725
0.475 0.275 0.275
0.975 0.275 0.275
0.118 0.001 0.764
0.250 0.500 0.500
0.750 0.500 0.500
0.382 0.236 0.999
0.618 0.764 0.001
0.525 0.725 0.725
0.126 0.644 0.104
0.874 0.356 0.896
0.374 0.896 0.356
0.626 0.104 0.644
0.387 0.475 0.751
0.613 0.525 0.249
0.750 0.000 0.000
0.250 0.000 0.000
0.113 0.249 0.525
0.887 0.751 0.475
```

=====

Below is a relaxed La2P3Ir4Rh crystal, with properties calculated at the PBE level.

* symmetry: P-4m2
* total moment: 0.00 μB per atom
* V: 17.63 Å³ per atom
* formation energy: -820.4 meV/atom
* density: 11.705 g/cm³

Geometry as POSCAR:
```
La2P3Ir4Rh
1.0
4.188 0.000 0.000
0.000 4.188 0.000
0.000 0.000 10.050
P La Ir Rh
3 2 4 1
Direct
0.000 0.000 0.500
0.000 0.500 0.135
0.500 0.000 0.865
0.000 0.500 0.749
0.500 0.000 0.251
0.000 0.500 0.366
0.500 0.000 0.634
0.500 0.500 0.000
0.000 0.000 0.000
0.500 0.500 0.500
```

=====

Below is a relaxed AcNpAs2 crystal, with properties calculated at the PBE level.

* symmetry: P4/mmm
* total moment: 0.94 μB per atom
* V: 24.95 Å³ per atom
* excess energy over the best structure of this formula in the dataset: 265.8 meV per atom
* formation energy: -759.7 meV/atom
* density: 10.214 g/cm³

Geometry as POSCAR:
```
AcNpAs2
1.0
-1.384 3.024 -1.566
-1.898 0.718 3.065
5.681 3.944 2.593
As Np Ac
2 1 1
Direct
0.000 0.000 0.225
0.000 0.000 0.775
0.500 0.500 0.000
0.500 0.500 0.500
```

=====

Below is a relaxed Sm3AuN crystal, with properties calculated at the PBE level.

* symmetry: Cmcm
* total moment: 0.00 μB per atom
* V: 23.28 Å³ per atom
* excess energy over the best structure of this formula in the dataset: 0.0 meV per atom
* density: 9.444 g/cm³
* raw formation energy: -922 meV per atom

Geometry as POSCAR:
```
Sm3AuN
1.0
-1.782 3.003 1.223
-0.612 -4.641 4.909
8.152 3.194 4.037
Au Sm N
2 6 2
Direct
0.250 0.500 0.250
0.750 0.500 0.750
0.943 0.887 0.250
0.624 0.248 0.443
0.376 0.752 0.943
0.057 0.113 0.750
0.376 0.752 0.557
0.624 0.248 0.057
0.000 0.000 0.500
0.000 0.000 0.000
```

=====

Below is a relaxed CaTl2Pb crystal, with properties calculated at the PBE level.

* symmetry: P2/m
* total moment: 0.00 μB per atom
* V: 30.74 Å³ per atom
* formation energy: -206.0 meV/atom
* density: 8.859 g/cm³

Geometry as POSCAR:
```
CaTl2Pb
1.0
-2.205 -5.317 -0.137
2.916 -1.158 -1.967
3.046 -1.385 4.710
Pb Tl Ca
1 2 1
Direct
0.500 0.750 0.750
0.000 0.987 0.994
0.000 0.513 0.506
0.500 0.250 0.250
```

=====

Below is a relaxed Pm2Er3In6 crystal, with properties calculated at the PBE level.

* symmetry: I4/mmm
* total moment: 0.00 μB per atom
* V: 29.43 Å³ per atom
* formation energy: -130.5 meV/atom
* density: 7.594 g/cm³

Geometry as POSCAR:
```
Pm2Er3In6
1.0
4.414 0.000 0.000
0.000 4.414 0.000
-2.207 -2.207 16.617
In Er Pm
6 3 2
Direct
0.569 0.069 0.139
0.773 0.773 0.547
0.931 0.431 0.861
0.431 0.931 0.861
0.227 0.227 0.453
0.069 0.569 0.139
0.000 0.000 0.000
0.866 0.866 0.731
0.134 0.134 0.269
0.674 0.674 0.348
0.326 0.326 0.652
```

=====

Below is a relaxed Tc2Ru2Rh crystal, with properties calculated at the PBE level.

* symmetry: P-1
* total moment: 0.00 μB per atom
* V: 14.24 Å³ per atom
* excess energy over the best structure of this formula in the dataset: 0.0 meV per atom
* formation energy: 16.4 meV/atom
* density: 11.689 g/cm³

Geometry as POSCAR:
```
Tc2Ru2Rh
1.0
-3.156 2.745 -2.164
-4.918 -1.530 1.802
-1.374 4.294 4.064
Rh Ru Tc
2 4 4
Direct
0.197 0.053 0.101
0.803 0.947 0.899
0.603 0.642 0.300
0.999 0.255 0.499
0.001 0.745 0.501
0.397 0.358 0.700
0.801 0.452 0.892
0.199 0.548 0.108
0.401 0.851 0.697
0.599 0.149 0.303
```

=====

Below is a relaxed NbPdN2 crystal, with properties calculated at the PBE level.

* symmetry: I-42d
* total moment: 0.00 μB per atom
* V: 13.96 Å³ per atom
* excess energy over the best structure of this formula in the dataset: 89.0 meV per atom
* density: 6.761 g/cm³
* raw formation energy: -191 meV per atom

Geometry as POSCAR:
```
NbPdN2
1.0
-1.624 1.127 -4.410
-1.558 -4.537 -0.585
-5.822 -0.494 -0.630
Nb N Pd
2 4 2
Direct
0.500 0.500 0.000
0.250 0.750 0.500
0.163 0.625 0.250
0.875 0.837 0.750
0.375 0.413 0.750
0.587 0.125 0.250
0.000 0.000 0.000
0.750 0.250 0.500
```

=====

Below is a relaxed Ga2SiPd crystal, with properties calculated at the PBE level.

* symmetry: R-3m
* total moment: 0.00 μB per atom
* V: 16.86 Å³ per atom
* density: 6.745 g/cm³
* raw formation energy: -126 meV per atom

Geometry as POSCAR:
```
Ga2SiPd
1.0
2.969 0.000 0.000
1.484 2.571 0.000
1.484 0.857 8.835
Ga Pd Si
2 1 1
Direct
0.093 0.093 0.722
0.907 0.907 0.278
0.500 0.500 0.500
0.000 0.000 0.000
```